Record 1
Material: Li5La2Pd4
Method: DFT, GGA-PBE
State: optimized geometry

Results
The value obtained for the calculated volume is 19.2 Å³ per atom. As for the energy relative to the elements: -0.447 eV/atom.

a = 5.4101 Å, b = 9.4020 Å, c = 16.6398 Å
α = 90.00°, β = 90.00°, γ = 90.00°
Space group Fmmm (No. 69)
Inequivalent atoms, fractional coordinates:
1 Li 0.0000 0.0000 0.0000 x4
2 Li 0.2500 0.2500 0.0000 x8
3 Li 0.2500 0.2500 0.2500 x8
4 La 0.0000 0.0000 0.3568 x8
5 Pd 0.0000 0.1569 0.1297 x16

---

Record 2
Material: Li3LaPd3
Method: DFT, GGA-PBE
State: optimized geometry

Results
The value obtained for the calculated volume is 19.5 Å³ per atom. As for the energy relative to the elements: -0.090 eV/atom.

a = 6.4923 Å, b = 6.4923 Å, c = 6.4923 Å
α = 90.00°, β = 90.00°, γ = 90.00°
Space group Pm-3n (No. 223)
Inequivalent atoms, fractional coordinates:
1 Li 0.0000 0.2500 0.5000 x6
2 La 0.0000 0.0000 0.0000 x2
3 Pd 0.0000 0.5000 0.2500 x6

---

Record 3
Material: Li2La3Pd4
Method: DFT, GGA-PBE
State: optimized geometry

Results
The value obtained for the calculated volume is 22.3 Å³ per atom. As for the energy relative to the elements: -0.649 eV/atom.

a = 11.3009 Å, b = 4.4105 Å, c = 8.7578 Å
α = 90.00°, β = 113.22°, γ = 90.00°
Space group C2/m (No. 12)
Inequivalent atoms, fractional coordinates:
1 Li 0.1770 0.0000 0.3498 x4
2 La 0.0000 0.5000 0.0000 x2
3 La 0.1352 0.0000 0.6984 x4
4 Pd 0.0759 0.5000 0.4009 x4
5 Pd 0.2110 0.0000 0.0693 x4

---

Record 4
Material: LiLa2Pd
Method: DFT, GGA-PBE
State: optimized geometry

Results
The value obtained for the calculated volume is 32.5 Å³ per atom. As for the energy relative to the elements: -0.244 eV/atom.

a = 4.2532 Å, b = 4.2532 Å, c = 24.9143 Å
α = 90.00°, β = 90.00°, γ = 120.00°
Space group R3m (No. 160, hexagonal axes)
Inequivalent atoms, fractional coordinates:
1 Li 0.0000 0.0000 0.0000 x3
2 La 0.0000 0.0000 0.5638 x3
3 La 0.0000 0.0000 0.7667 x3
4 Pd 0.0000 0.0000 0.1645 x3

---

Record 5
Material: LiLaPd
Method: DFT, GGA-PBE
State: optimized geometry

Results
The calculation puts the energy above the most stable polymorph in this dataset at 8.7 kJ per mole of atoms. The value obtained for the calculated volume is 22.6 Å³ per atom. As for the energy relative to the elements: -0.478 eV/atom.

a = 4.4160 Å, b = 4.4160 Å, c = 4.0192 Å
α = 90.00°, β = 90.00°, γ = 120.00°
Space group P-6m2 (No. 187)
Inequivalent atoms, fractional coordinates:
1 Li 0.0000 0.0000 0.0000 x1
2 La 0.6667 0.3333 0.5000 x1
3 Pd 0.3333 0.6667 0.0000 x1

---

Record 6
Material: LiLa2Pd2
Method: DFT, GGA-PBE
State: optimized geometry

Results
The calculation puts the energy above the most stable polymorph in this dataset at 15.3 kJ per mole of atoms. The value obtained for the calculated volume is 26.3 Å³ per atom. As for the energy relative to the elements: -0.493 eV/atom.

a = 5.6703 Å, b = 5.6703 Å, c = 8.1802 Å
α = 90.00°, β = 90.00°, γ = 90.00°
Space group I4/mmm (No. 139)
Inequivalent atoms, fractional coordinates:
1 Li 0.0000 0.0000 0.0000 x2
2 La 0.0000 0.5000 0.2500 x4
3 Pd 0.0000 0.0000 0.3342 x4

---

Record 7
Material: Li2LaPd6
Method: DFT, GGA-PBE
State: optimized geometry

Results
The value obtained for the calculated volume is 19.4 Å³ per atom. As for the energy relative to the elements: -0.394 eV/atom.

a = 4.7306 Å, b = 4.7306 Å, c = 8.9951 Å
α = 90.00°, β = 90.00°, γ = 120.00°
Space group P-31m (No. 162)
Inequivalent atoms, fractional coordinates:
1 Li 0.3333 0.6667 0.0000 x2
2 La 0.0000 0.0000 0.5000 x1
3 Pd 0.0000 0.3371 0.2380 x6

---

Record 8
Material: LiLa3Pd3
Method: DFT, GGA-PBE
State: optimized geometry

Results
The value obtained for the calculated volume is 24.2 Å³ per atom. As for the energy relative to the elements: -0.679 eV/atom.

a = 4.3012 Å, b = 10.8776 Å, c = 14.5022 Å
α = 90.00°, β = 90.00°, γ = 90.00°
Space group Cmcm (No. 63)
Inequivalent atoms, fractional coordinates:
1 Li 0.0000 0.0000 0.0000 x4
2 La 0.0000 0.0280 0.2500 x4
3 La 0.0000 0.2994 0.1052 x8
4 Pd 0.0000 0.2514 0.7500 x4
5 Pd 0.0000 0.4158 0.5893 x8

---

Record 9
Material: LiLa4Pd3
Method: DFT, GGA-PBE
State: optimized geometry

Results
The value obtained for the calculated volume is 26.4 Å³ per atom. As for the energy relative to the elements: -0.577 eV/atom.

a = 4.0031 Å, b = 4.7411 Å, c = 11.1470 Å
α = 90.00°, β = 90.00°, γ = 90.00°
Space group Pmm2 (No. 25)
Inequivalent atoms, fractional coordinates:
1 Li 0.0000 0.0000 0.0000 x1
2 La 0.0000 0.0000 0.3056 x1
3 La 0.0000 0.5000 0.5700 x1
4 La 0.5000 0.0000 0.7861 x1
5 La 0.5000 0.5000 0.0727 x1
6 Pd 0.0000 0.5000 0.8589 x1
7 Pd 0.5000 0.0000 0.5233 x1
8 Pd 0.5000 0.5000 0.3509 x1

---

Record 10
Material: LiLaPd
Method: DFT, GGA-PBE
State: optimized geometry

Results
The calculation puts the energy above the most stable polymorph in this dataset at 16.8 kJ per mole of atoms. The value obtained for the calculated volume is 22.4 Å³ per atom. As for the energy relative to the elements: -0.395 eV/atom.

a = 3.6602 Å, b = 3.6602 Å, c = 10.0185 Å
α = 90.00°, β = 90.00°, γ = 90.00°
Space group I4mm (No. 107)
Inequivalent atoms, fractional coordinates:
1 Li 0.0000 0.0000 0.0000 x2
2 La 0.0000 0.0000 0.2884 x2
3 Pd 0.0000 0.0000 0.6227 x2

---

Record 11
Material: LiLa2Pd2
Method: DFT, GGA-PBE
State: optimized geometry

Results
The calculation puts the energy above the most stable polymorph in this dataset at 20.3 kJ per mole of atoms. The value obtained for the calculated volume is 25.7 Å³ per atom. As for the energy relative to the elements: -0.441 eV/atom.

a = 8.5170 Å, b = 8.5170 Å, c = 3.5371 Å
α = 90.00°, β = 90.00°, γ = 90.00°
Space group P4/mbm (No. 127)
Inequivalent atoms, fractional coordinates:
1 Li 0.0000 0.0000 0.0000 x2
2 La 0.1513 0.3487 0.0000 x4
3 Pd 0.1452 0.6452 0.5000 x4

---

Record 12
Material: LiLaPd
Method: DFT, GGA-PBE
State: optimized geometry

Results
The calculation puts the energy above the most stable polymorph in this dataset at 0.0 kJ per mole of atoms. The value obtained for the calculated volume is 22.9 Å³ per atom. As for the energy relative to the elements: -0.569 eV/atom.

a = 4.1326 Å, b = 4.1326 Å, c = 8.0462 Å
α = 90.00°, β = 90.00°, γ = 90.00°
Space group P4/nmm (No. 129, origin choice 2)
Inequivalent atoms, fractional coordinates:
1 Li 0.2500 0.7500 0.0000 x2
2 La 0.2500 0.2500 0.3312 x2
3 Pd 0.2500 0.2500 0.7399 x2

---

Record 13
Material: Li7La3Pd4
Method: DFT, GGA-PBE
State: optimized geometry

Results
The value obtained for the calculated volume is 20.5 Å³ per atom. As for the energy relative to the elements: -0.428 eV/atom.

a = 16.1202 Å, b = 4.1829 Å, c = 10.4733 Å
α = 90.00°, β = 125.66°, γ = 90.00°
Space group C2/m (No. 12)
Inequivalent atoms, fractional coordinates:
1 Li 0.0000 0.0000 0.0000 x2
2 Li 0.0200 0.5000 0.8020 x4
3 Li 0.1670 0.0000 0.9277 x4
4 Li 0.1754 0.5000 0.5005 x4
5 La 0.0000 0.0000 0.5000 x2
6 La 0.2009 0.5000 0.2283 x4
7 Pd 0.1046 0.0000 0.3134 x4
8 Pd 0.1596 0.5000 0.7463 x4

---

Record 14
Material: Li2La3Pd3
Method: DFT, GGA-PBE
State: optimized geometry

Results
The value obtained for the calculated volume is 24.0 Å³ per atom. As for the energy relative to the elements: -0.566 eV/atom.

a = 8.7186 Å, b = 8.7186 Å, c = 5.8273 Å
α = 90.00°, β = 90.00°, γ = 120.00°
Space group P6_3/mcm (No. 193)
Inequivalent atoms, fractional coordinates:
1 Li 0.3333 0.6667 0.0000 x4
2 La 0.0000 0.2714 0.2500 x6
3 Pd 0.0000 0.3906 0.7500 x6

---

Record 15
Material: Li3La2Pd4
Method: DFT, GGA-PBE
State: optimized geometry

Results
The value obtained for the calculated volume is 18.9 Å³ per atom. As for the energy relative to the elements: -0.602 eV/atom.

a = 5.6591 Å, b = 15.5461 Å, c = 7.7485 Å
α = 90.00°, β = 90.00°, γ = 90.00°
Space group Cmce (No. 64)
Inequivalent atoms, fractional coordinates:
1 Li 0.0000 0.0000 0.0000 x4
2 Li 0.2500 0.2198 0.2500 x8
3 La 0.0000 0.1129 0.5822 x8
4 Pd 0.0000 0.1731 0.9736 x8
5 Pd 0.2500 0.0554 0.2500 x8

---

Record 16
Material: Li5La4Pd6
Method: DFT, GGA-PBE
State: optimized geometry

Results
The value obtained for the calculated volume is 21.9 Å³ per atom. As for the energy relative to the elements: -0.530 eV/atom.

a = 4.1882 Å, b = 20.3265 Å, c = 15.4192 Å
α = 90.00°, β = 90.00°, γ = 90.00°
Space group Cmc2_1 (No. 36)
Inequivalent atoms, fractional coordinates:
1 Li 0.0000 0.0673 0.0000 x4
2 Li 0.0000 0.1448 0.3291 x4
3 Li 0.0000 0.1631 0.5857 x4
4 Li 0.0000 0.2009 0.9480 x4
5 Li 0.0000 0.3437 0.9592 x4
6 La 0.0000 0.3147 0.2705 x4
7 La 0.0000 0.3363 0.6376 x4
8 La 0.0000 0.4696 0.1028 x4
9 La 0.0000 0.4932 0.8431 x4
10 Pd 0.0000 0.0583 0.1915 x4
11 Pd 0.0000 0.0640 0.4657 x4
12 Pd 0.0000 0.0789 0.7397 x4
13 Pd 0.0000 0.2637 0.0954 x4
14 Pd 0.0000 0.2830 0.8128 x4
15 Pd 0.0000 0.3811 0.4435 x4

---

Record 17
Material: LiLaPd
Method: DFT, GGA-PBE
State: optimized geometry

Results
The calculation puts the energy above the most stable polymorph in this dataset at 18.2 kJ per mole of atoms. The value obtained for the calculated volume is 26.5 Å³ per atom. As for the energy relative to the elements: -0.380 eV/atom.

a = 6.8253 Å, b = 6.8253 Å, c = 6.8253 Å
α = 90.00°, β = 90.00°, γ = 90.00°
Space group F-43m (No. 216)
Inequivalent atoms, fractional coordinates:
1 Li 0.0000 0.0000 0.0000 x4
2 La 0.0000 0.0000 0.5000 x4
3 Pd 0.2500 0.2500 0.2500 x4

---

Record 18
Material: LiLaPmPd
Method: DFT, GGA-PBE
State: optimized geometry

Results
The value obtained for the calculated volume is 25.2 Å³ per atom. As for the energy relative to the elements: -0.315 eV/atom.

a = 7.3849 Å, b = 7.3849 Å, c = 7.3849 Å
α = 90.00°, β = 90.00°, γ = 90.00°
Space group F-43m (No. 216)
Inequivalent atoms, fractional coordinates:
1 Li 0.0000 0.0000 0.0000 x4
2 La 0.2500 0.2500 0.2500 x4
3 Pm 0.2500 0.2500 0.7500 x4
4 Pd 0.0000 0.0000 0.5000 x4

---

Record 19
Material: LiLaPrPd
Method: DFT, GGA-PBE
State: optimized geometry

Results
The value obtained for the calculated volume is 25.7 Å³ per atom. As for the energy relative to the elements: -0.299 eV/atom.

a = 7.4345 Å, b = 7.4345 Å, c = 7.4345 Å
α = 90.00°, β = 90.00°, γ = 90.00°
Space group F-43m (No. 216)
Inequivalent atoms, fractional coordinates:
1 Li 0.0000 0.0000 0.0000 x4
2 La 0.2500 0.2500 0.2500 x4
3 Pr 0.2500 0.2500 0.7500 x4
4 Pd 0.0000 0.0000 0.5000 x4

---

Record 20
Material: Li3La2PdPt12
Method: DFT, GGA-PBE
State: optimized geometry

Results
The value obtained for the calculated volume is 19.1 Å³ per atom. As for the energy relative to the elements: -0.297 eV/atom.

a = 6.7436 Å, b = 6.7436 Å, c = 26.2167 Å
α = 90.00°, β = 90.00°, γ = 120.00°
Space group R-3m (No. 166, hexagonal axes)
Inequivalent atoms, fractional coordinates:
1 Li 0.0000 0.5000 0.0000 x9
2 La 0.0000 0.0000 0.1604 x6
3 Pd 0.0000 0.0000 0.5000 x3
4 Pt 0.0337 0.5169 0.0963 x18
5 Pt 0.0674 0.5337 0.6200 x18